[1]
## YCr2Se (PBE)

Data for YCr2Se after structural relaxation.

Cell lengths 5.790, 5.790, 5.790 Å; angles 145.76, 131.87, 60.39 degrees
Site moments in Bohr magnetons follow the coordinates.
Fractional coordinates of all 4 atoms:
Se (0.750, 0.250, 0.500)  -0.02
Y (0.250, 0.750, 0.500)  -0.01
Cr (0.531, 0.531, 0.000)  3.51
Cr (0.969, 0.969, 0.000)  3.51

Summary:
**Symmetry**: No. 71
**Formation energy (no corrections)**: 0.093 eV/atom
**Total magnetization**: 7.8 μB/cell
**Theoretical density**: 5.60 g cm⁻³

---

[2]
## DyNpPdO6 (PBE)

Data for DyNpPdO6 after structural relaxation.

Cell lengths 5.363, 5.363, 10.072 Å; angles 90.00, 90.00, 120.00 degrees
Site moments in Bohr magnetons follow the coordinates.
Fractional coordinates of all 18 atoms:
O (0.005, 0.348, 0.635)  0.01
O (0.657, 0.005, 0.365)  0.01
O (0.343, 0.995, 0.635)  0.01
O (0.657, 0.652, 0.135)  0.01
O (0.652, 0.995, 0.865)  0.01
O (0.995, 0.652, 0.365)  0.01
O (0.005, 0.657, 0.865)  0.01
O (0.348, 0.005, 0.135)  0.01
O (0.995, 0.343, 0.135)  0.01
O (0.348, 0.343, 0.365)  0.01
O (0.343, 0.348, 0.865)  0.01
O (0.652, 0.657, 0.635)  0.01
Pd (0.333, 0.667, 0.250)  0.50
Pd (0.667, 0.333, 0.750)  0.50
Np (0.667, 0.333, 0.250)  1.36
Np (0.333, 0.667, 0.750)  1.36
Dy (0.000, 0.000, 0.000)  0.01
Dy (0.000, 0.000, 0.500)  0.01

Summary:
**Symmetry**: No. 163
**Formation energy (no corrections)**: -2.283 eV/atom
**Total magnetization**: 4.1 μB/cell
**Theoretical density**: 7.97 g cm⁻³

---

[3]
## KSrCa2Rh (PBE)

Data for KSrCa2Rh after structural relaxation.

Cell lengths 5.581, 5.581, 6.366 Å; angles 90.00, 90.00, 90.00 degrees
Fractional coordinates of all 5 atoms:
Ca (0.000, 0.500, 0.000)
Ca (0.500, 0.000, 0.000)
K (0.000, 0.000, 0.500)
Rh (0.000, 0.000, 0.000)
Sr (0.500, 0.500, 0.500)

Summary:
**Energy of formation**: 0.0570 eV/atom
**Symmetry**: No. 123
**E above lowest polymorph**: 0.204 eV/atom
**Total magnetization**: 0.0 μB/cell
**Theoretical density**: 2.59 g cm⁻³

---

[4]
## CaIrOs3 (PBE)

Data for CaIrOs3 after structural relaxation.

Cell lengths 4.522, 4.522, 4.522 Å; angles 90.00, 90.00, 90.00 degrees
Fractional coordinates of all 5 atoms:
Ca (0.000, 0.000, 0.000)
Os (0.000, 0.000, 0.500)
Os (0.500, 0.000, 0.000)
Os (0.000, 0.500, 0.000)
Ir (0.500, 0.500, 0.500)

Summary:
**Energy of formation**: 3.3459 eV/atom
**Symmetry**: No. 221
**E above lowest polymorph**: 1.717 eV/atom
**Total magnetization**: 0.0 μB/cell
**Theoretical density**: 14.42 g cm⁻³

---

[5]
## KMoAs2 (PBE)

Data for KMoAs2 after structural relaxation.

Cell lengths 5.724, 5.724, 5.724 Å; angles 137.71, 137.71, 61.35 degrees
Site moments in Bohr magnetons follow the coordinates.
Fractional coordinates of all 4 atoms:
Mo (0.750, 0.250, 0.500)  2.22
K (0.500, 0.500, 0.000)  0.00
As (0.250, 0.750, 0.500)  -0.05
As (0.000, 0.000, 0.000)  -0.17

Summary:
**Energy of formation**: 0.7454 eV/atom
**Symmetry**: No. 119
**E above lowest polymorph**: 0.969 eV/atom
**Total magnetization**: 2.2 μB/cell
**Theoretical density**: 5.63 g cm⁻³

---

[6]
## TlMoSe2 (PBE)

Data for TlMoSe2 after structural relaxation.

Cell lengths 4.284, 4.284, 7.953 Å; angles 76.68, 76.68, 45.51 degrees
Fractional coordinates of all 4 atoms:
Tl (0.573, 0.573, 0.495)
Mo (0.238, 0.238, 0.039)
Se (0.918, 0.918, 0.167)
Se (0.771, 0.771, 0.800)

Summary:
**Symmetry**: No. 8
**Formation energy (no corrections)**: -0.189 eV/atom
**Total magnetization**: 0.0 μB/cell
**Theoretical density**: 7.55 g cm⁻³

---

[7]
## AlSClO (PBE)

Data for AlSClO after structural relaxation.

Cell lengths 3.415, 3.618, 6.646 Å; angles 94.45, 95.60, 103.61 degrees
Fractional coordinates of all 4 atoms:
Cl (0.999, 0.742, 0.407)
S (0.243, 0.093, 0.885)
O (0.519, 0.330, 0.704)
Al (0.625, 0.840, 0.659)

Summary:
**Symmetry**: No. 1
**Formation energy (no corrections)**: -1.241 eV/atom
**E above lowest polymorph**: 0.000 eV/atom
**Total magnetization**: 0.0 μB/cell
**Theoretical density**: 2.32 g cm⁻³

---

[8]
## Ta2CdPb (PBE)

Data for Ta2CdPb after structural relaxation.

Cell lengths 5.474, 5.474, 5.474 Å; angles 134.87, 134.87, 65.74 degrees
Fractional coordinates of all 4 atoms:
Pb (0.750, 0.250, 0.500)
Ta (0.500, 0.500, 0.000)
Ta (0.000, 0.000, 0.000)
Cd (0.250, 0.750, 0.500)

Summary:
**Energy of formation**: 0.5199 eV/atom
**Symmetry**: No. 139
**Total magnetization**: 0.0 μB/cell
**Theoretical density**: 13.94 g cm⁻³

---

[9]
## Ho2Cd2Rh3 (PBE)

Data for Ho2Cd2Rh3 after structural relaxation.

Cell lengths 4.701, 4.716, 7.849 Å; angles 90.23, 107.57, 119.76 degrees
Fractional coordinates of all 7 atoms:
Rh (0.490, 0.747, 0.232)
Rh (0.510, 0.253, 0.768)
Rh (0.000, 0.000, 0.000)
Cd (0.263, 0.133, 0.393)
Cd (0.737, 0.867, 0.607)
Ho (0.769, 0.385, 0.152)
Ho (0.231, 0.615, 0.848)

Summary:
**Energy of formation**: -0.5769 eV/atom
**Symmetry**: No. 2
**Total magnetization**: 0.0 μB/cell
**Theoretical density**: 10.13 g cm⁻³

---

[10]
## Sr3BiPd3 (PBE)

Data for Sr3BiPd3 after structural relaxation.

Cell lengths 6.129, 9.303, 9.303 Å; angles 120.00, 90.00, 90.00 degrees
Fractional coordinates of all 14 atoms:
Sr (0.750, 0.370, 0.062)
Sr (0.250, 0.307, 0.370)
Sr (0.750, 0.938, 0.307)
Sr (0.250, 0.062, 0.693)
Sr (0.750, 0.693, 0.630)
Sr (0.250, 0.630, 0.938)
Pd (0.750, 0.640, 0.942)
Pd (0.250, 0.699, 0.640)
Pd (0.750, 0.301, 0.360)
Pd (0.750, 0.058, 0.699)
Pd (0.250, 0.360, 0.058)
Pd (0.250, 0.942, 0.301)
Bi (0.250, 0.667, 0.333)
Bi (0.750, 0.333, 0.667)

Summary:
**Energy of formation**: -0.4132 eV/atom
**Symmetry**: No. 176
**Total magnetization**: 0.0 μB/cell
**Theoretical density**: 5.72 g cm⁻³

---

[11]
## Pr4Ho3TmSe8 (PBE)

Data for Pr4Ho3TmSe8 after structural relaxation.

Cell lengths 8.178, 8.458, 8.181 Å; angles 118.93, 119.99, 90.00 degrees
Fractional coordinates of all 16 atoms:
Se (0.255, 0.272, 0.013)
Se (0.242, 0.728, 0.484)
Se (0.257, 0.270, 0.514)
Se (0.758, 0.272, 0.516)
Se (0.758, 0.272, 0.013)
Se (0.242, 0.728, 0.987)
Se (0.745, 0.728, 0.987)
Se (0.743, 0.730, 0.486)
Tm (0.000, 0.500, 0.000)
Ho (0.500, 0.500, 0.500)
Ho (0.000, 0.500, 0.500)
Ho (0.500, 0.500, 0.000)
Pr (0.000, 0.000, 0.500)
Pr (0.000, 0.000, 0.000)
Pr (0.500, 0.000, 0.500)
Pr (0.500, 0.000, 0.000)

Summary:
**Symmetry**: No. 166
**Formation energy (no corrections)**: -1.783 eV/atom
**Total magnetization**: 0.0 μB/cell
**Theoretical density**: 7.59 g cm⁻³

---

[12]
## Sc2SbPt (PBE)

Data for Sc2SbPt after structural relaxation.

Cell lengths 4.062, 4.062, 6.839 Å; angles 72.63, 72.63, 60.19 degrees
Fractional coordinates of all 4 atoms:
Pt (0.750, 0.750, 0.750)
Sb (0.250, 0.250, 0.250)
Sc (0.491, 0.491, 0.528)
Sc (0.009, 0.009, 0.972)

Summary:
**Symmetry**: No. 12
**Formation energy (no corrections)**: -0.862 eV/atom
**Total magnetization**: 0.0 μB/cell
**Theoretical density**: 7.35 g cm⁻³

---

[13]
## MnOsW (PBE)

Data for MnOsW after structural relaxation.

Cell lengths 4.051, 4.051, 4.051 Å; angles 60.00, 60.00, 60.00 degrees
Fractional coordinates of all 3 atoms:
Mn (0.750, 0.750, 0.750)
W (0.500, 0.500, 0.500)
Os (0.000, 0.000, 0.000)

Summary:
**Energy of formation**: 0.5930 eV/atom
**Symmetry**: No. 216
**E above lowest polymorph**: 0.485 eV/atom
**Total magnetization**: 0.0 μB/cell
**Theoretical density**: 15.16 g cm⁻³

---

[14]
## Pm4Zn2In5 (PBE)

Data for Pm4Zn2In5 after structural relaxation.

Cell lengths 3.684, 7.837, 10.002 Å; angles 94.05, 90.00, 90.00 degrees
Fractional coordinates of all 11 atoms:
Zn (0.000, 0.059, 0.628)
Zn (0.000, 0.941, 0.372)
In (0.000, 0.181, 0.163)
In (0.000, 0.438, 0.693)
In (0.000, 0.500, 0.000)
In (0.000, 0.562, 0.307)
In (0.000, 0.819, 0.837)
Pm (0.500, 0.175, 0.875)
Pm (0.500, 0.825, 0.125)
Pm (0.500, 0.741, 0.560)
Pm (0.500, 0.259, 0.440)

Summary:
**Energy of formation**: -0.4029 eV/atom
**Symmetry**: No. 10
**Total magnetization**: 0.0 μB/cell
**Theoretical density**: 7.41 g cm⁻³

---

[15]
## TlZnCr (PBE)

Data for TlZnCr after structural relaxation.

Cell lengths 4.532, 4.532, 3.207 Å; angles 90.00, 90.00, 120.00 degrees
Site moments in Bohr magnetons follow the coordinates.
Fractional coordinates of all 3 atoms:
Zn (0.333, 0.667, 0.657)  -0.06
Tl (0.667, 0.333, 0.378)  -0.08
Cr (0.000, 0.000, 0.965)  3.48

Summary:
**Energy of formation**: 0.5200 eV/atom
**Symmetry**: No. 156
**E above lowest polymorph**: 0.068 eV/atom
**Total magnetization**: 3.6 μB/cell
**Theoretical density**: 9.37 g cm⁻³

---

[16]
## Y2Ni2Ir (PBE)

Data for Y2Ni2Ir after structural relaxation.

Cell lengths 3.399, 3.399, 8.498 Å; angles 78.46, 78.46, 90.00 degrees
Fractional coordinates of all 5 atoms:
Y (0.392, 0.392, 0.215)
Y (0.608, 0.608, 0.785)
Ni (0.750, 0.250, 0.500)
Ni (0.250, 0.750, 0.500)
Ir (0.000, 0.000, 0.000)

Summary:
**Energy of formation**: -0.3506 eV/atom
**Symmetry**: No. 139
**E above lowest polymorph**: 0.206 eV/atom
**Total magnetization**: 0.0 μB/cell
**Theoretical density**: 8.60 g cm⁻³

---

[17]
## AlTcTe (PBE)

Data for AlTcTe after structural relaxation.

Cell lengths 5.139, 5.139, 5.139 Å; angles 140.82, 140.82, 56.61 degrees
Fractional coordinates of all 3 atoms:
Tc (0.354, 0.354, 0.001)
Al (0.980, 0.980, 0.000)
Te (0.665, 0.666, 0.999)

Summary:
**Symmetry**: No. 8
**Formation energy (no corrections)**: 0.154 eV/atom
**E above lowest polymorph**: 0.112 eV/atom
**Total magnetization**: 0.0 μB/cell
**Theoretical density**: 7.81 g cm⁻³

---

[18]
## ZrCd2CuI (PBE)

Data for ZrCd2CuI after structural relaxation.

Cell lengths 4.968, 5.322, 4.968 Å; angles 90.00, 90.00, 90.00 degrees
Site moments in Bohr magnetons follow the coordinates.
Fractional coordinates of all 5 atoms:
I (0.000, 0.500, 0.000)  0.01
Cu (0.000, 0.000, 0.000)  0.01
Zr (0.500, 0.500, 0.500)  1.26
Cd (0.500, 0.000, 0.000)  0.00
Cd (0.000, 0.000, 0.500)  -0.01

Summary:
**Symmetry**: No. 123
**Formation energy (no corrections)**: 0.640 eV/atom
**Total magnetization**: 2.1 μB/cell
**Theoretical density**: 6.40 g cm⁻³

---

[19]
## Y6Sb5Te (PBE)

Data for Y6Sb5Te after structural relaxation.

Cell lengths 7.599, 7.600, 7.596 Å; angles 59.98, 80.41, 70.54 degrees
Fractional coordinates of all 12 atoms:
Te (0.000, 0.000, 0.000)
Y (0.254, 0.915, 0.661)
Y (0.252, 0.255, 0.000)
Y (0.748, 0.745, 0.000)
Y (0.746, 0.085, 0.339)
Y (0.746, 0.423, 0.661)
Y (0.254, 0.577, 0.339)
Sb (0.500, 0.835, 0.329)
Sb (0.000, 0.667, 0.666)
Sb (0.500, 0.165, 0.671)
Sb (0.500, 0.500, 0.000)
Sb (0.000, 0.333, 0.334)

Summary:
**Symmetry**: No. 12
**Formation energy (no corrections)**: -1.227 eV/atom
**Total magnetization**: 0.0 μB/cell
**Theoretical density**: 5.89 g cm⁻³

---

[20]
## NdSmSbO2 (PBE)

Data for NdSmSbO2 after structural relaxation.

Cell lengths 3.973, 3.973, 7.430 Å; angles 105.51, 105.51, 90.00 degrees
Fractional coordinates of all 5 atoms:
O (0.749, 0.249, 0.497)
O (0.249, 0.749, 0.497)
Sb (0.501, 0.501, 0.003)
Sm (0.165, 0.165, 0.329)
Nd (0.837, 0.837, 0.674)

Summary:
**Symmetry**: No. 107
**Formation energy (no corrections)**: -2.613 eV/atom
**Total magnetization**: 0.0 μB/cell
**Theoretical density**: 6.86 g cm⁻³